Version i
Here is FeBrCl at its PBEsol-relaxed geometry from Alexandria via LeMat-Bulk. Energies are from SCAN.

Structure (CIF):
```
data_FeBrCl
_chemical_formula_sum 'Fe1 Br1 Cl1'
_space_group_name_H-M_alt 'P 3 m 1'
_space_group_IT_number 156
_space_group_name_Hall 'P 3 -2"'
_cell_length_a 3.5228
_cell_length_b 3.5228
_cell_length_c 6.2717
_cell_angle_alpha 90.00
_cell_angle_beta 90.00
_cell_angle_gamma 120.00
loop_
_atom_site_label
_atom_site_type_symbol
_atom_site_fract_x
_atom_site_fract_y
_atom_site_fract_z
_atom_site_occupancy
Fe1 Fe 0.0000 0.0000 0.0000 1
Br1 Br 0.6667 0.3333 0.7534 1
Cl1 Cl 0.3333 0.6667 0.2149 1
```

* V: 22.47 A^3/atom
* M_tot: 0.09 μB per formula unit



Version ii
Here is FeBrCl at its PBEsol-relaxed geometry from Alexandria via LeMat-Bulk. Energies are from SCAN.

Structure (CIF):
```
data_FeBrCl
_chemical_formula_sum 'Fe4 Br4 Cl4'
_space_group_name_H-M_alt 'F -4 3 m'
_space_group_IT_number 216
_space_group_name_Hall 'F -4 2 3'
_cell_length_a 6.2820
_cell_length_b 6.2820
_cell_length_c 6.2820
_cell_angle_alpha 90.00
_cell_angle_beta 90.00
_cell_angle_gamma 90.00
loop_
_atom_site_label
_atom_site_type_symbol
_atom_site_fract_x
_atom_site_fract_y
_atom_site_fract_z
_atom_site_occupancy
Fe1 Fe 0.0000 0.0000 0.0000 1
Br1 Br 0.2500 0.2500 0.7500 1
Cl1 Cl 0.2500 0.2500 0.2500 1
```

* V: 20.66 A^3/atom
* M_tot: 4.00 μB per formula unit



Computed relative energies in units of kJ/mol of atoms: version i 0.0; version ii 17.2



Version i
Here is HgBr2Cl at its PBEsol-relaxed geometry from Alexandria via LeMat-Bulk. Energies are from SCAN.

Structure (CIF):
```
data_HgBr2Cl
_chemical_formula_sum 'Hg1 Br2 Cl1'
_space_group_name_H-M_alt 'P 1 2/m 1'
_space_group_IT_number 10
_space_group_name_Hall '-P 2y'
_cell_length_a 3.9699
_cell_length_b 3.9709
_cell_length_c 6.5662
_cell_angle_alpha 90.00
_cell_angle_beta 90.58
_cell_angle_gamma 90.00
loop_
_atom_site_label
_atom_site_type_symbol
_atom_site_fract_x
_atom_site_fract_y
_atom_site_fract_z
_atom_site_occupancy
Hg1 Hg 0.0000 0.0000 0.0000 1
Br1 Br 0.0000 0.5000 0.5000 1
Br2 Br 0.5000 0.0000 0.5000 1
Cl1 Cl 0.5000 0.5000 0.0000 1
```

* V: 25.88 A^3/atom
* M_tot: 0.00 μB per formula unit



Version ii
Here is HgBr2Cl at its PBEsol-relaxed geometry from Alexandria via LeMat-Bulk. Energies are from SCAN.

Structure (CIF):
```
data_HgBr2Cl
_chemical_formula_sum 'Hg2 Br4 Cl2'
_space_group_name_H-M_alt 'I m m m'
_space_group_IT_number 71
_space_group_name_Hall '-I 2 2'
_cell_length_a 3.7633
_cell_length_b 5.1874
_cell_length_c 10.3494
_cell_angle_alpha 90.00
_cell_angle_beta 90.00
_cell_angle_gamma 90.00
loop_
_atom_site_label
_atom_site_type_symbol
_atom_site_fract_x
_atom_site_fract_y
_atom_site_fract_z
_atom_site_occupancy
Hg1 Hg 0.0000 0.0000 0.0000 1
Br1 Br 0.0000 0.5000 0.3112 1
Cl1 Cl 0.0000 0.0000 0.5000 1
```

* V: 25.25 A^3/atom
* M_tot: 0.69 μB per formula unit



Computed relative energies in units of kJ/mol of atoms: version i 4.9; version ii 0.0



Version i
Here is InBrCl2 at its PBEsol-relaxed geometry from Alexandria via LeMat-Bulk. Energies are from SCAN.

Structure (CIF):
```
data_InBrCl2
_chemical_formula_sum 'In1 Br1 Cl2'
_space_group_name_H-M_alt 'P 4 m m'
_space_group_IT_number 99
_space_group_name_Hall 'P 4 -2'
_cell_length_a 3.4328
_cell_length_b 3.4328
_cell_length_c 7.8064
_cell_angle_alpha 90.00
_cell_angle_beta 90.00
_cell_angle_gamma 90.00
loop_
_atom_site_label
_atom_site_type_symbol
_atom_site_fract_x
_atom_site_fract_y
_atom_site_fract_z
_atom_site_occupancy
In1 In 0.0000 0.0000 0.0000 1
Br1 Br 0.5000 0.5000 0.2159 1
Cl1 Cl 0.0000 0.0000 0.5072 1
Cl2 Cl 0.5000 0.5000 0.8061 1
```

* V: 23.00 A^3/atom
* M_tot: 0.47 μB per formula unit



Version ii
Here is InBrCl2 at its PBEsol-relaxed geometry from Alexandria via LeMat-Bulk. Energies are from SCAN.

Structure (CIF):
```
data_InBrCl2
_chemical_formula_sum 'In1 Br1 Cl2'
_space_group_name_H-M_alt 'P 4/m m m'
_space_group_IT_number 123
_space_group_name_Hall '-P 4 2'
_cell_length_a 3.3373
_cell_length_b 3.3373
_cell_length_c 8.7079
_cell_angle_alpha 90.00
_cell_angle_beta 90.00
_cell_angle_gamma 90.00
loop_
_atom_site_label
_atom_site_type_symbol
_atom_site_fract_x
_atom_site_fract_y
_atom_site_fract_z
_atom_site_occupancy
In1 In 0.0000 0.0000 0.0000 1
Br1 Br 0.0000 0.0000 0.5000 1
Cl1 Cl 0.5000 0.5000 0.1787 1
```

* V: 24.25 A^3/atom
* M_tot: 0.00 μB per formula unit



Version iii
Here is InBrCl2 at its PBEsol-relaxed geometry from Alexandria via LeMat-Bulk. Energies are from SCAN.

Structure (CIF):
```
data_InBrCl2
_chemical_formula_sum 'In1 Br1 Cl2'
_space_group_name_H-M_alt 'P m m m'
_space_group_IT_number 47
_space_group_name_Hall '-P 2 2'
_cell_length_a 3.9383
_cell_length_b 4.1025
_cell_length_c 5.9698
_cell_angle_alpha 90.00
_cell_angle_beta 90.00
_cell_angle_gamma 90.00
loop_
_atom_site_label
_atom_site_type_symbol
_atom_site_fract_x
_atom_site_fract_y
_atom_site_fract_z
_atom_site_occupancy
In1 In 0.0000 0.0000 0.0000 1
Br1 Br 0.5000 0.0000 0.5000 1
Cl1 Cl 0.0000 0.5000 0.5000 1
Cl2 Cl 0.5000 0.5000 0.0000 1
```

* V: 24.11 A^3/atom
* M_tot: 0.00 μB per formula unit



Computed relative energies in units of kJ/mol of atoms: version i 10.2; version ii 0.0; version iii 9.2